The following is a DFT calculation (PBE) of a relaxed CdTcNiAs crystal. Values from VASP.

Output
Symmetry = No. 216
Final energy = -20.31 eV per cell
Magnetization = 0.1 μB per cell

Quantum ESPRESSO input file:
```
&SYSTEM
  ibrav = 0, nat = 4, ntyp = 4
/
ATOMIC_SPECIES
As 74.92 As.upf
Cd 112.41 Cd.upf
Ni 58.69 Ni.upf
Tc 98.00 Tc.upf
ATOMIC_POSITIONS crystal
As 0.000 0.000 0.000
Cd 0.500 0.500 0.500
Ni 0.750 0.750 0.750
Tc 0.250 0.250 0.250
CELL_PARAMETERS angstrom
0.000 3.110 3.110
3.110 0.000 3.110
3.110 3.110 0.000
```